No. 1
This record from Alexandria via LeMat-Bulk describes a relaxed InTcAs2 crystal. The functional is GGA-PBE.

Cell: 4.5200 4.9255 4.9255 Å, 43.85 90.00 90.00°
Closest atoms and distances in Å follow each position.
Fractional positions:
In  0.0000  0.0000  0.0000  3 As 2.57-2.72
Tc  0.5000  0.5889  0.5889  5 As 2.55-2.66
As  0.0000  0.7188  0.7188  2 Tc 2.55, 3 In 2.57-2.72
As  0.5000  0.2982  0.2982  3 Tc 2.65-2.66

Properties
Symmetry   Amm2, No. 38
Formation energy from the elements   3.65 kcal/mol of atoms
D(E_F)   1.92 states/eV per cell
Raw total energy   -5.44 eV per atom
M_tot   0.000 μB/atom



No. 2
This record from Alexandria via LeMat-Bulk describes a relaxed Ho4CdHg7 crystal. The functional is GGA-PBE.

Cell: 6.9526 6.9526 10.7902 Å, 118.42 118.42 45.27°
Closest atoms and distances in Å follow each position.
Fractional positions:
Ho  0.0806  0.0806  0.2764  8 Hg 3.05-3.17
Ho  0.2356  0.2356  0.8186  6 Hg 3.07-3.20
Ho  0.7644  0.7644  0.1814  6 Hg 3.07-3.20
Ho  0.9194  0.9194  0.7236  8 Hg 3.05-3.17
Cd  0.5000  0.5000  0.5000  2 Hg 2.68
Hg  0.0000  0.0000  0.5000  2 Cd 2.68
Hg  0.1401  0.1401  0.0363  5 Ho 3.06-3.16, 4 Hg 3.21-3.26
Hg  0.3019  0.3019  0.5831  4 Ho 3.05-3.07, 1 Cd 3.10, 3 Hg 3.11-3.15
Hg  0.4278  0.4278  0.1539  4 Hg 3.15-3.23, 5 Ho 3.16-3.50, 1 Cd 3.35
Hg  0.5722  0.5722  0.8461  4 Hg 3.15-3.23, 5 Ho 3.16-3.50, 1 Cd 3.35
Hg  0.6981  0.6981  0.4169  4 Ho 3.05-3.07, 1 Cd 3.10, 3 Hg 3.11-3.15
Hg  0.8599  0.8599  0.9637  5 Ho 3.06-3.16, 4 Hg 3.21-3.26

Properties
Symmetry   C2/m, No. 12
Formation energy from the elements   -5.99 kcal/mol of atoms
D(E_F)   6.55 states/eV per cell
Raw total energy   -2.04 eV per atom
M_tot   0.000 μB/atom



No. 3
This record from Alexandria via LeMat-Bulk describes a relaxed Ca2ZnIn6Cu crystal. The functional is GGA-PBE.

Cell: 12.6995 12.6995 12.6995 Å, 32.58 32.58 32.58°
Closest atoms and distances in Å follow each position.
Fractional positions:
Ca  0.1062  0.1062  0.1062  12 In 3.47-3.80, 1 Cu 3.83
Ca  0.2818  0.2818  0.2818  12 In 3.42-3.63
Ca  0.7182  0.7182  0.7182  12 In 3.42-3.63
Ca  0.8938  0.8938  0.8938  12 In 3.47-3.80, 1 Cu 3.83
Zn  0.4275  0.4275  0.4275  1 Cu 2.61, 6 In 2.77-2.82
Zn  0.5725  0.5725  0.5725  1 Cu 2.61, 6 In 2.77-2.82
In  0.0797  0.6602  0.6602  1 Cu 2.67, 1 Zn 2.77, 2 In 2.99
In  0.2210  0.2210  0.6604  1 Cu 2.61, 1 Zn 2.82
In  0.2210  0.6604  0.2210  1 Cu 2.61, 1 Zn 2.82
In  0.3398  0.3398  0.9203  1 Cu 2.67, 1 Zn 2.77, 2 In 2.99
In  0.3396  0.7790  0.7790  1 Cu 2.61, 1 Zn 2.82
In  0.3398  0.9203  0.3398  1 Cu 2.67, 1 Zn 2.77, 2 In 2.99
In  0.6602  0.0797  0.6602  1 Cu 2.67, 1 Zn 2.77, 2 In 2.99
In  0.6604  0.2210  0.2210  1 Cu 2.61, 1 Zn 2.82
In  0.6602  0.6602  0.0797  1 Cu 2.67, 1 Zn 2.77, 2 In 2.99
In  0.7790  0.3396  0.7790  1 Cu 2.61, 1 Zn 2.82
In  0.7790  0.7790  0.3396  1 Cu 2.61, 1 Zn 2.82
In  0.9203  0.3398  0.3398  1 Cu 2.67, 1 Zn 2.77, 2 In 2.99
Cu  0.0000  0.0000  0.0000  6 In 2.61
Cu  0.5000  0.5000  0.5000  2 Zn 2.61, 6 In 2.67

Properties
Symmetry   R-3m, No. 166
Formation energy from the elements   -2.81 kcal/mol of atoms
D(E_F)   7.85 states/eV per cell
Raw total energy   -2.70 eV per atom
M_tot   0.000 μB/atom



No. 4
This record from Alexandria via LeMat-Bulk describes a relaxed ZrTiSi crystal. The functional is GGA-PBE.

Cell: 6.4700 4.9918 5.4731 Å, 76.22 48.53 55.24°
Closest atoms and distances in Å follow each position.
Fractional positions:
Zr  0.0000  0.0000  0.0000  5 Si 2.83-2.92, 5 Ti 2.86-2.98
Zr  0.2500  0.2500  0.2500  5 Si 2.83-2.92, 5 Ti 2.86-2.98
Ti  0.6530  0.6530  0.3470  5 Si 2.74-2.99, 5 Zr 2.86-2.98
Ti  0.9030  0.9030  0.5970  5 Si 2.74-2.99, 5 Zr 2.86-2.98
Si  0.3338  0.3338  0.6662  5 Ti 2.74-2.99, 5 Zr 2.83-2.92
Si  0.5838  0.5838  0.9162  5 Ti 2.74-2.99, 5 Zr 2.83-2.92

Properties
Symmetry   Fdd2, No. 43
D(E_F)   5.07 states/eV per cell
Raw total energy   -7.74 eV per atom
M_tot   0.000 μB/atom



No. 5
This record from Alexandria via LeMat-Bulk describes a relaxed HfMnRu2C crystal. The functional is GGA-PBE.

Cell: 4.0907 4.0907 3.9135 Å, 90.00 90.00 90.00°
Closest atoms and distances in Å follow each position.
Fractional positions:
Hf  0.0000  0.0000  0.0000  8 Ru 2.83, 4 Mn 2.89
Mn  0.5000  0.5000  0.0000  2 C 1.96
Ru  0.0000  0.5000  0.5000  2 C 2.05
Ru  0.5000  0.0000  0.5000  2 C 2.05
C  0.5000  0.5000  0.5000  2 Mn 1.96, 4 Ru 2.05

Properties
Symmetry   P4/mmm, No. 123
Formation energy from the elements   -6.97 kcal/mol of atoms
D(E_F)   2.95 states/eV per cell
Raw total energy   -9.68 eV per atom
M_tot   0.232 μB/atom



No. 6
This record from Alexandria via LeMat-Bulk describes a relaxed Mn3RhCl crystal. The functional is GGA-PBE.

Cell: 4.8879 4.8879 4.8879 Å, 90.00 90.00 90.00°
Closest atoms and distances in Å follow each position.
Fractional positions:
Mn  0.0000  0.0000  0.5000  2 Rh 2.44
Mn  0.0000  0.5000  0.0000  2 Rh 2.44
Mn  0.5000  0.0000  0.0000  2 Rh 2.44
Rh  0.0000  0.0000  0.0000  6 Mn 2.44
Cl  0.5000  0.5000  0.5000  12 Mn 3.46

Properties
Energy above the lowest structure with this stoichiometry   0.000 eV per atom
Symmetry   Pm-3m, No. 221
D(E_F)   3.63 states/eV per cell
Raw total energy   -6.64 eV per atom
M_tot   2.788 μB/atom



No. 7
This record from Alexandria via LeMat-Bulk describes a relaxed U3AgHg3Te8 crystal. The functional is GGA-PBE.

Cell: 8.3220 8.3220 10.7333 Å, 112.90 112.90 59.70°
Closest atoms and distances in Å follow each position.
Fractional positions:
U  0.0000  0.0000  0.0000  6 Te 2.98-3.04
U  0.0000  0.5000  0.0000  6 Te 2.98-3.03
U  0.5000  0.0000  0.0000  6 Te 2.98-3.03
Ag  0.5000  0.5000  0.0000  6 Te 3.04-3.06
Hg  0.0000  0.5000  0.5000  6 Te 3.79-3.85, 4 Hg 4.14-4.16
Hg  0.5000  0.0000  0.5000  6 Te 3.79-3.85, 4 Hg 4.14-4.16
Hg  0.5000  0.5000  0.5000  6 Te 3.80-3.84, 4 Hg 4.16
Te  0.2230  0.7327  0.1884  2 U 2.98-2.99, 1 Ag 3.04
Te  0.2308  0.2308  0.1938  3 U 3.03-3.04
Te  0.2662  0.2662  0.8107  2 U 2.98, 1 Ag 3.06
Te  0.2673  0.7770  0.8116  2 U 2.98-2.99, 1 Ag 3.04
Te  0.7327  0.2230  0.1884  2 U 2.98-2.99, 1 Ag 3.04
Te  0.7338  0.7338  0.1893  2 U 2.98, 1 Ag 3.06
Te  0.7692  0.7692  0.8062  3 U 3.03-3.04
Te  0.7770  0.2673  0.8116  2 U 2.98-2.99, 1 Ag 3.04

Properties
Symmetry   C2/m, No. 12
D(E_F)   16.90 states/eV per cell
Raw total energy   -4.49 eV per atom
M_tot   0.241 μB/atom



No. 8
This record from Alexandria via LeMat-Bulk describes a relaxed SrPCl2 crystal. The functional is GGA-PBE.

Cell: 5.2678 5.2678 5.2678 Å, 60.00 60.00 60.00°
Closest atoms and distances in Å follow each position.
Fractional positions:
Sr  0.0000  0.0000  0.0000  4 P 3.23, 4 Cl 3.23
P  0.7500  0.7500  0.7500  4 Cl 3.23, 4 Sr 3.23
Cl  0.2500  0.2500  0.2500  4 Cl 3.23, 4 Sr 3.23
Cl  0.5000  0.5000  0.5000  4 P 3.23, 4 Cl 3.23

Properties
Energy above the lowest structure with this stoichiometry   0.423 eV per atom
Symmetry   F-43m, No. 216
Raw total energy   -3.35 eV per atom
M_tot   0.750 μB/atom



No. 9
This record from Alexandria via LeMat-Bulk describes a relaxed MgZnCd crystal. The functional is GGA-PBE.

Cell: 5.2206 5.2206 5.2206 Å, 143.68 135.38 58.84°
Closest atoms and distances in Å follow each position.
Fractional positions:
Mg  0.0000  0.0000  0.0000  5 Zn 2.95-3.09, 5 Cd 2.95-3.02, 2 Mg 3.25
Zn  0.6606  0.6606  0.0000  5 Mg 2.95-3.09, 5 Cd 2.97-3.05, 2 Zn 3.25
Cd  0.3248  0.3248  0.0000  5 Mg 2.95-3.02, 5 Zn 2.97-3.05, 2 Cd 3.25

Properties
Energy above the lowest structure with this stoichiometry   0.013 eV per atom
Symmetry   Imm2, No. 44
Formation energy from the elements   -0.74 kcal/mol of atoms
D(E_F)   0.69 states/eV per cell
Raw total energy   -1.29 eV per atom
M_tot   0.000 μB/atom



No. 10
This record from Alexandria via LeMat-Bulk describes a relaxed LiPmMnC crystal. The functional is GGA-PBE.

Cell: 3.4214 3.4214 11.1301 Å, 90.00 90.00 90.00°
Closest atoms and distances in Å follow each position.
Fractional positions:
Li  0.2500  0.7500  0.0000  4 Li 2.42
Li  0.7500  0.2500  0.0000  4 Li 2.42
Pm  0.2500  0.2500  0.2754  4 C 2.79, 4 Mn 3.03
Pm  0.7500  0.7500  0.7246  4 C 2.79, 4 Mn 3.03
Mn  0.2500  0.7500  0.5000  4 C 2.04
Mn  0.7500  0.2500  0.5000  4 C 2.04
C  0.2500  0.2500  0.5993  4 Mn 2.04
C  0.7500  0.7500  0.4007  4 Mn 2.04

Properties
Symmetry   P4/nmm, No. 129
Formation energy from the elements   -1.28 kcal/mol of atoms
D(E_F)   4.87 states/eV per cell
Raw total energy   -6.32 eV per atom
M_tot   0.243 μB/atom